{
  "formula": "InAgI4",
  "functional": "PBE",
  "state": "optimized geometry",
  "formation_energy_uncorrected_ev_per_atom": -0.44,
  "energy_ev_per_atom": -2.40,
  "relative_energy_mev_per_atom": 0,
  "spacegroup": "I-4, No. 82",
  "lattice": [[-3.3632, 3.3632, 6.1157], [3.3632, -3.3632, 6.1157], [3.3632, 3.3632, -6.1157]],
  "species": ["In", "Ag", "I", "I", "I", "I"],
  "frac_coords": [[0.0000, 0.0000, 0.0000], [0.2500, 0.7500, 0.5000], [0.1067, 0.1202, 0.4821], [0.3754, 0.8933, 0.0135], [0.6381, 0.6246, 0.5179], [0.8798, 0.3619, 0.9865]]
}